A geometry-optimized CsKRb2I6 structure. Source: Alexandria via LeMat-Bulk, functional GGA-PBE.

Properties
Formation energy without anion corrections: -0.858 eV per atom
D(E_F): 28.278 states/eV/cell
VASP energy: -21.77 eV for the cell shown

Unit cell a=9.800 b=9.800 c=9.800 alpha=60.00 beta=60.00 gamma=60.00
Sites, in units of the cell vectors:
1 Cs 0.000 0.000 0.000
2 K 0.500 0.500 0.500
3 Rb 0.250 0.250 0.250
4 Rb 0.750 0.750 0.750
5 I 0.260 0.260 0.740
6 I 0.260 0.740 0.260
7 I 0.260 0.740 0.740
8 I 0.740 0.260 0.260
9 I 0.740 0.260 0.740
10 I 0.740 0.740 0.260